P) DFT (PBE-GGA) results for an optimized crystal structure of SmIn3Hg3.

a = 7.8258 Å, b = 7.8258 Å, c = 7.8258 Å
α = 90.00°, β = 90.00°, γ = 90.00°
Atoms (fractional coordinates):
Hg 0.2500 0.0000 0.5000
Hg 0.0000 0.5000 0.2500
Hg 0.5000 0.7500 0.0000
Hg 0.7500 0.0000 0.5000
Hg 0.0000 0.5000 0.7500
Hg 0.5000 0.2500 0.0000
Sm 0.5000 0.5000 0.5000
Sm 0.0000 0.0000 0.0000
In 0.0000 0.2500 0.5000
In 0.0000 0.7500 0.5000
In 0.5000 0.0000 0.7500
In 0.7500 0.5000 0.0000
In 0.5000 0.0000 0.2500
In 0.2500 0.5000 0.0000

Computed properties:
For the size of the total moment, the calculation gives 0.0 μB per formula unit. For the theoretical density, the calculation gives 7599 kg/m3. The space group is Pm-3n, No. 223. Its crystal system is cubic.

---

Q) DFT (PBE-GGA) results for an optimized crystal structure of SmIn3Hg3.

a = 7.2976 Å, b = 7.2976 Å, c = 7.0093 Å
α = 89.52°, β = 89.52°, γ = 94.06°
Atoms (fractional coordinates):
Sm 0.2806 0.2806 0.9984
Sm 0.7194 0.7194 0.0016
In 0.2274 0.2274 0.4974
In 0.3487 0.6513 0.5000
In 0.6513 0.3487 0.5000
In 0.2642 0.7358 0.0000
In 0.7358 0.2642 0.0000
In 0.7726 0.7726 0.5026
Hg 0.0008 0.0008 0.7723
Hg 0.4982 0.9992 0.2633
Hg 0.9992 0.4982 0.2633
Hg 0.5018 0.0008 0.7367
Hg 0.0008 0.5018 0.7367
Hg 0.9992 0.9992 0.2277

Computed properties:
For the size of the total moment, the calculation gives 0.0 μB per formula unit. For the theoretical density, the calculation gives 9781 kg/m3. The space group is C2/m, No. 12. Its crystal system is monoclinic.

---

On energetic grounds, Q) is preferred over the next structure by 0.497 eV/atom.

---

P) DFT (PBE-GGA) results for an optimized crystal structure of SmInHg4.

a = 6.0469 Å, b = 6.0469 Å, c = 6.0469 Å
α = 60.00°, β = 60.00°, γ = 60.00°
Atoms (fractional coordinates):
Hg 0.6247 0.6247 0.1258
Hg 0.6247 0.1258 0.6247
Hg 0.6247 0.6247 0.6247
Hg 0.1258 0.6247 0.6247
Sm 0.2500 0.2500 0.2500
In 0.0000 0.0000 0.0000

Computed properties:
For the size of the total moment, the calculation gives 0.0 μB per formula unit. For the theoretical density, the calculation gives 11338 kg/m3. The space group is F-43m, No. 216. Its crystal system is cubic.

---

Q) DFT (PBE-GGA) results for an optimized crystal structure of SmInHg4.

a = 4.7480 Å, b = 4.8168 Å, c = 6.9429 Å
α = 90.00°, β = 109.99°, γ = 90.00°
Atoms (fractional coordinates):
Sm 0.5000 0.5000 0.0000
In 0.0000 0.0000 0.0000
Hg 0.3346 0.0000 0.6691
Hg 0.6654 0.0000 0.3309
Hg 0.8279 0.5000 0.6558
Hg 0.1721 0.5000 0.3442

Computed properties:
For the size of the total moment, the calculation gives 0.0 μB per formula unit. For the theoretical density, the calculation gives 11880 kg/m3. The space group is Cmmm, No. 65. Its crystal system is orthorhombic.

---

On energetic grounds, Q) is preferred over the next structure by 0.176 eV/atom.

---

P) DFT (PBE-GGA) results for an optimized crystal structure of Sm2InHg.

a = 5.4099 Å, b = 5.4099 Å, c = 5.4099 Å
α = 60.00°, β = 60.00°, γ = 60.00°
Atoms (fractional coordinates):
Hg 0.5000 0.5000 0.5000
Sm 0.2500 0.2500 0.2500
Sm 0.7500 0.7500 0.7500
In 0.0000 0.0000 0.0000

Computed properties:
For the size of the total moment, the calculation gives 0.6 μB per formula unit. For the theoretical density, the calculation gives 9138 kg/m3. The space group is Fm-3m, No. 225. Its crystal system is cubic.

---

Q) DFT (PBE-GGA) results for an optimized crystal structure of Sm2InHg.

a = 3.7786 Å, b = 3.7786 Å, c = 7.7850 Å
α = 90.00°, β = 90.00°, γ = 90.00°
Atoms (fractional coordinates):
Hg 0.5000 0.5000 0.0000
Sm 0.0000 0.0000 0.7540
Sm 0.0000 0.0000 0.2460
In 0.5000 0.5000 0.5000

Computed properties:
For the size of the total moment, the calculation gives 0.0 μB per formula unit. For the theoretical density, the calculation gives 9204 kg/m3. The space group is P4/mmm, No. 123. Its crystal system is tetragonal.

---

On energetic grounds, Q) is preferred over the next structure by 0.007 eV/atom.